Computed, not measured: a geometry-optimized NaTb2PaO6 structure at the PBE level of DFT.

Output
Volume   156 Å³/cell
Magnetization   0.00 μB per atom
Energy relative to the elements, uncorrected   -316 kJ/mol of atoms

abc: 6.1709 6.1709 6.1709
angles: 57.28 57.28 57.28
Atoms (fractional coordinates):
Na  0.0000  0.0000  0.0000
Tb  0.2722  0.2722  0.2722
Tb  0.7796  0.7796  0.7796
Pa  0.4832  0.4832  0.4832
O  0.0993  0.6418  0.4195
O  0.1931  0.5631  0.8704
O  0.4195  0.0993  0.6418
O  0.5631  0.8704  0.1931
O  0.6418  0.4195  0.0993
O  0.8704  0.1931  0.5631



Computed, not measured: a geometry-optimized NaTl2In2 structure at the PBE level of DFT.

Output
Volume   141 Å³/cell
Distance to the lowest polymorph of the same formula   0.0 meV per atom
Magnetization   0.00 μB per atom
E_form   -61 meV per atom

abc: 6.4467 6.4467 6.4467
angles: 49.13 49.13 49.13
Atoms (fractional coordinates):
Na  0.0000  0.0000  0.0000
Tl  0.3991  0.3991  0.3991
Tl  0.6009  0.6009  0.6009
In  0.1958  0.1958  0.1958
In  0.8042  0.8042  0.8042



Computed, not measured: a geometry-optimized Cs3PbSe structure at the PBE level of DFT.

Output
Volume   338 Å³/cell
Magnetization   0.60 μB per atom
Energy relative to the elements, uncorrected   -39 kJ/mol of atoms

abc: 6.9636 6.9636 6.9636
angles: 90.00 90.00 90.00
Atoms (fractional coordinates):
Cs  0.0000  0.0000  0.5000
Cs  0.0000  0.5000  0.0000
Cs  0.5000  0.0000  0.0000
Pb  0.5000  0.5000  0.5000
Se  0.0000  0.0000  0.0000



Computed, not measured: a geometry-optimized Sr2LiGd structure at the PBE level of DFT.

Output
Volume   159 Å³/cell
Distance to the lowest polymorph of the same formula   0.0 meV per atom
Magnetization   2.11 μB per atom
E_form   133 meV per atom

abc: 3.9681 3.9681 10.1013
angles: 90.00 90.00 90.00
Atoms (fractional coordinates):
Sr  0.0000  0.0000  0.2287
Sr  0.0000  0.0000  0.7713
Li  0.5000  0.5000  0.0000
Gd  0.5000  0.5000  0.5000



Computed, not measured: a geometry-optimized Pm6Nd3Er2Mg structure at the PBE level of DFT.

Output
Volume   398 Å³/cell
Magnetization   0.00 μB per atom
E_form   30 meV per atom

abc: 6.2755 6.2755 11.8553
angles: 95.09 95.09 120.07
Atoms (fractional coordinates):
Pm  0.0797  0.4118  0.2433
Pm  0.2521  0.2521  0.7552
Pm  0.4118  0.0797  0.2433
Pm  0.5882  0.9203  0.7567
Pm  0.7479  0.7479  0.2448
Pm  0.9203  0.5882  0.7567
Nd  0.1667  0.8333  0.5000
Nd  0.5000  0.5000  0.5000
Nd  0.8333  0.1667  0.5000
Er  0.3337  0.6663  0.0000
Er  0.6663  0.3337  0.0000
Mg  0.0000  0.0000  0.0000



Computed, not measured: a geometry-optimized La6TbHo3 structure at the PBE level of DFT.

Output
Volume   718 Å³/cell
Distance to the lowest polymorph of the same formula   51.5 meV per atom
Magnetization   0.00 μB per atom
E_form   237 meV per atom

abc: 9.0789 9.0789 9.0789
angles: 80.09 80.09 80.09
Atoms (fractional coordinates):
La  0.0375  0.0375  0.3326
La  0.0375  0.3326  0.0375
La  0.2127  0.2127  0.5921
La  0.2127  0.5921  0.2127
La  0.3326  0.0375  0.0375
La  0.4079  0.7873  0.7873
La  0.5921  0.2127  0.2127
La  0.6674  0.9625  0.9625
La  0.7873  0.4079  0.7873
La  0.7873  0.7873  0.4079
La  0.9625  0.6674  0.9625
La  0.9625  0.9625  0.6674
Tb  0.0000  0.0000  0.0000
Tb  0.5000  0.5000  0.5000
Ho  0.1339  0.6053  0.6053
Ho  0.3947  0.3947  0.8661
Ho  0.3947  0.8661  0.3947
Ho  0.6053  0.1339  0.6053
Ho  0.6053  0.6053  0.1339
Ho  0.8661  0.3947  0.3947



Computed, not measured: a geometry-optimized V2CuAsN structure at the PBE level of DFT.

Output
Volume   78 Å³/cell
Magnetization   1.01 μB per atom
Energy relative to the elements, uncorrected   88 kJ/mol of atoms

abc: 4.8159 4.8159 3.3784
angles: 90.00 90.00 90.00
Atoms (fractional coordinates):
V  0.0000  0.5000  0.0000
V  0.5000  0.0000  0.0000
Cu  0.0000  0.0000  0.0000
As  0.5000  0.5000  0.5000
N  0.0000  0.0000  0.5000



Computed, not measured: a geometry-optimized CeY2ErCo2 structure at the PBE level of DFT.

Output
Volume   286 Å³/cell
Magnetization   0.00 μB per atom
E_form   -113 meV per atom

abc: 7.9587 7.9587 7.9587
angles: 129.64 72.88 131.03
Atoms (fractional coordinates):
Ce  0.2500  0.2500  0.0000
Ce  0.7500  0.7500  0.0000
Y  0.2011  0.1934  0.3945
Y  0.2989  0.6934  0.9923
Y  0.7011  0.3066  0.0077
Y  0.7989  0.8066  0.6055
Er  0.2500  0.7500  0.5000
Er  0.7500  0.2500  0.5000
Co  0.0967  0.7888  0.8855
Co  0.4033  0.2888  0.6921
Co  0.5967  0.7112  0.3079
Co  0.9033  0.2112  0.1145



Computed, not measured: a geometry-optimized SrZr3Tl structure at the PBE level of DFT.

Output
Volume   167 Å³/cell
Distance to the lowest polymorph of the same formula   0.0 meV per atom
Magnetization   0.50 μB per atom
E_form   943 meV per atom

abc: 5.5104 5.5104 5.5104
angles: 90.00 90.00 90.00
Atoms (fractional coordinates):
Sr  0.0000  0.0000  0.0000
Zr  0.0000  0.5000  0.5000
Zr  0.5000  0.0000  0.5000
Zr  0.5000  0.5000  0.0000
Tl  0.5000  0.5000  0.5000



Computed, not measured: a geometry-optimized Ba2GaCuPt structure at the PBE level of DFT.

Output
Volume   179 Å³/cell
Distance to the lowest polymorph of the same formula   122.1 meV per atom
Magnetization   0.11 μB per atom
E_form   -147 meV per atom

abc: 6.1065 6.1065 4.7894
angles: 90.00 90.00 90.00
Atoms (fractional coordinates):
Ba  0.0000  0.5000  0.0000
Ba  0.5000  0.0000  0.0000
Ga  0.0000  0.0000  0.5000
Cu  0.5000  0.5000  0.5000
Pt  0.5000  0.5000  0.0000



Computed, not measured: a geometry-optimized K2TaP structure at the PBE level of DFT.

Output
Volume   95 Å³/cell
Magnetization   0.10 μB per atom
E_form   863 meV per atom

abc: 6.4105 6.4105 3.0585
angles: 93.12 93.12 130.13
Atoms (fractional coordinates):
K  0.0000  0.5000  0.0000
K  0.5000  0.0000  0.0000
Ta  0.0000  0.0000  0.5000
P  0.5000  0.5000  0.5000



Computed, not measured: a geometry-optimized ErSnSe2O structure at the PBE level of DFT.

Output
Volume   233 Å³/cell
Magnetization   0.00 μB per atom
Energy relative to the elements, uncorrected   -166 kJ/mol of atoms

abc: 3.8726 3.8726 15.5094
angles: 90.00 90.00 90.00
Atoms (fractional coordinates):
Er  0.2500  0.2500  0.0717
Er  0.7500  0.7500  0.9283
Sn  0.2500  0.2500  0.6601
Sn  0.7500  0.7500  0.3399
Se  0.2500  0.2500  0.3908
Se  0.2500  0.2500  0.8261
Se  0.7500  0.7500  0.1739
Se  0.7500  0.7500  0.6092
O  0.2500  0.7500  0.0000
O  0.7500  0.2500  0.0000